8
Lattice="5.353 0.000 0.000 0.000 3.500 6.098 0.000 -3.500 6.098" Properties=species:S:1:pos:R:3 comment="Nd2HoAl, optimized geometry, DFT GGA-PBE" dos_ef_per_ev_atom=1.007 final_energy_ev_per_cell=-37.1 relative_energy_mev_per_atom=0.0 sg="Amm2, No. 38" pbc="T T T"
Nd 0.000 0.000 0.000
Nd 0.000 -1.628 2.862
Nd 0.000 1.628 2.862
Nd 2.677 0.000 7.870
Ho 2.677 -1.639 4.993
Ho 2.677 1.639 4.993
Al 0.000 0.000 5.906
Al 2.677 0.000 1.913